No. 1
VASP calculation (PBE) on crystalline Dy2In5Ga at its relaxed geometry.

- E_tot: -3.5955 eV/atom

POSCAR file:
```
Dy2In5Ga
1.0
5.1465 0.0000 0.0000
0.0000 6.4892 0.0000
0.0000 0.0000 11.5888
Dy In Ga
4 10 2
direct
0.0000 0.0000 0.0000
0.0000 0.5000 0.5000
0.5000 0.0000 0.3454
0.5000 0.5000 0.8454
0.0000 0.0000 0.5137
0.0000 0.2407 0.7549
0.0000 0.2593 0.2549
0.0000 0.5000 0.0137
0.0000 0.7407 0.2549
0.0000 0.7593 0.7549
0.5000 0.2442 0.5983
0.5000 0.2558 0.0983
0.5000 0.7442 0.0983
0.5000 0.7558 0.5983
0.5000 0.0000 0.8347
0.5000 0.5000 0.3347
```

=====

No. 2
VASP calculation (PBE) on crystalline InWAuS3 at its relaxed geometry.

- E_tot: -5.5165 eV/atom

POSCAR file:
```
InWAuS3
1.0
1.6611 -8.1658 0.0000
1.6611 8.1658 0.0000
0.0000 0.0000 9.2966
In W Au S
2 2 2 6
direct
0.1708 0.8292 0.7500
0.8292 0.1708 0.2500
0.5000 0.5000 0.0000
0.5000 0.5000 0.5000
0.1947 0.8053 0.2500
0.8053 0.1947 0.7500
0.1075 0.8925 0.0309
0.1075 0.8925 0.4691
0.4677 0.5323 0.2500
0.5323 0.4677 0.7500
0.8925 0.1075 0.5309
0.8925 0.1075 0.9691
```

=====

No. 3
VASP calculation (PBE) on crystalline SnPtSO at its relaxed geometry.

- Relative energy among the computed polymorphs: 441 meV per atom
- E_tot: -5.0490 eV/atom

POSCAR file:
```
SnPtSO
1.0
6.4791 0.0000 0.0000
0.0000 8.3438 0.0000
0.0000 0.0000 5.5805
Sn Pt S O
4 4 4 4
direct
0.0607 0.1883 0.0000
0.4393 0.1883 0.5000
0.5607 0.8117 0.0000
0.9393 0.8117 0.5000
0.2220 0.6460 0.0021
0.2780 0.6460 0.5021
0.7220 0.3540 0.0021
0.7780 0.3540 0.5021
0.0339 0.1638 0.5019
0.4661 0.1638 0.0019
0.5339 0.8362 0.5019
0.9661 0.8362 0.0019
0.0354 0.4356 0.0017
0.4646 0.4356 0.5017
0.5354 0.5644 0.0017
0.9646 0.5644 0.5017
```

=====

No. 4
VASP calculation (PBE) on crystalline ZrAs at its relaxed geometry.

- E_tot: -6.9596 eV/atom

POSCAR file:
```
ZrAs
1.0
4.8595 0.0000 0.0000
0.0000 6.6020 0.0000
0.0000 0.0000 5.1016
Zr As
4 4
direct
0.0000 0.0000 0.0000
0.0000 0.2820 0.4771
0.0000 0.7180 0.4771
0.5000 0.0000 0.6051
0.0000 0.5000 0.9822
0.5000 0.1999 0.1126
0.5000 0.5000 0.5930
0.5000 0.8001 0.1126
```

=====

No. 5
VASP calculation (PBE) on crystalline ZnCuIrPt at its relaxed geometry.

- Relative energy among the computed polymorphs: 0 meV per atom
- Formation energy from the elements: 0.11 eV/f.u.
- E_tot: -4.9462 eV/atom

POSCAR file:
```
ZnCuIrPt
1.0
6.1221 0.0000 0.0000
0.0000 6.1221 0.0000
0.0000 0.0000 6.1221
Zn Cu Ir Pt
4 4 4 4
direct
0.0000 0.0000 0.0000
0.0000 0.5000 0.5000
0.5000 0.0000 0.5000
0.5000 0.5000 0.0000
0.2500 0.2500 0.2500
0.2500 0.7500 0.7500
0.7500 0.2500 0.7500
0.7500 0.7500 0.2500
0.2500 0.2500 0.7500
0.2500 0.7500 0.2500
0.7500 0.2500 0.2500
0.7500 0.7500 0.7500
0.0000 0.0000 0.5000
0.0000 0.5000 0.0000
0.5000 0.0000 0.0000
0.5000 0.5000 0.5000
```

=====

No. 6
VASP calculation (PBE) on crystalline Ni5Ge2 at its relaxed geometry.

- E_tot: -5.5932 eV/atom

POSCAR file:
```
Ni5Ge2
1.0
6.8361 0.0000 0.0000
-3.4180 5.9202 0.0000
0.0000 0.0000 12.3997
Ni Ge
30 12
direct
0.0000 0.0000 0.0241
0.0000 0.0000 0.5241
0.0000 0.2737 0.6964
0.0000 0.3076 0.9019
0.0000 0.3699 0.5000
0.0000 0.3728 0.2904
0.0000 0.6272 0.7904
0.0000 0.6301 0.0000
0.0000 0.6924 0.4019
0.0000 0.7263 0.1964
0.2737 0.0000 0.6964
0.2737 0.2737 0.1964
0.3076 0.0000 0.9019
0.3076 0.3076 0.4019
0.3333 0.6667 0.1666
0.3333 0.6667 0.6666
0.3699 0.0000 0.5000
0.3699 0.3699 0.0000
0.3728 0.0000 0.2904
0.3728 0.3728 0.7904
0.6272 0.0000 0.7904
0.6272 0.6272 0.2904
0.6301 0.0000 0.0000
0.6301 0.6301 0.5000
0.6667 0.3333 0.1666
0.6667 0.3333 0.6666
0.6924 0.0000 0.4019
0.6924 0.6924 0.9019
0.7263 0.0000 0.1964
0.7263 0.7263 0.6964
0.0000 0.0000 0.3194
0.0000 0.0000 0.8194
0.0000 0.3296 0.0952
0.0000 0.6704 0.5952
0.3296 0.0000 0.0952
0.3296 0.3296 0.5952
0.3333 0.6667 0.3760
0.3333 0.6667 0.8760
0.6667 0.3333 0.3760
0.6667 0.3333 0.8760
0.6704 0.0000 0.5952
0.6704 0.6704 0.0952
```

=====

No. 7
VASP calculation (PBE) on crystalline NdYSi at its relaxed geometry.

- Relative energy among the computed polymorphs: 0 meV per atom
- E_tot: -6.0171 eV/atom

POSCAR file:
```
NdYSi
1.0
6.9897 0.0000 0.0000
0.0000 6.9897 0.0000
0.0000 0.0000 6.9897
Nd Y Si
4 4 4
direct
0.0000 0.0000 0.0000
0.0000 0.5000 0.5000
0.5000 0.0000 0.5000
0.5000 0.5000 0.0000
0.0000 0.0000 0.5000
0.0000 0.5000 0.0000
0.5000 0.0000 0.0000
0.5000 0.5000 0.5000
0.2500 0.2500 0.2500
0.2500 0.7500 0.7500
0.7500 0.2500 0.7500
0.7500 0.7500 0.2500
```

=====

No. 8
VASP calculation (PBE) on crystalline BaNbPtAu at its relaxed geometry.

- Relative energy among the computed polymorphs: 67 meV per atom
- E_tot: -5.0267 eV/atom

POSCAR file:
```
BaNbPtAu
1.0
6.9525 0.0000 0.0000
0.0000 6.9525 0.0000
0.0000 0.0000 6.9525
Ba Nb Pt Au
4 4 4 4
direct
0.0000 0.0000 0.0000
0.0000 0.5000 0.5000
0.5000 0.0000 0.5000
0.5000 0.5000 0.0000
0.2500 0.2500 0.7500
0.2500 0.7500 0.2500
0.7500 0.2500 0.2500
0.7500 0.7500 0.7500
0.0000 0.0000 0.5000
0.0000 0.5000 0.0000
0.5000 0.0000 0.0000
0.5000 0.5000 0.5000
0.2500 0.2500 0.2500
0.2500 0.7500 0.7500
0.7500 0.2500 0.7500
0.7500 0.7500 0.2500
```

=====

No. 9
VASP calculation (PBE) on crystalline Si2HgGe at its relaxed geometry.

- E_tot: -3.3238 eV/atom

POSCAR file:
```
Si2HgGe
1.0
6.7197 0.0000 0.0000
0.0000 6.7197 0.0000
0.0000 0.0000 6.7197
Si Hg Ge
8 4 4
direct
0.0000 0.0000 0.0000
0.0000 0.5000 0.5000
0.2500 0.2500 0.2500
0.2500 0.7500 0.7500
0.5000 0.0000 0.5000
0.5000 0.5000 0.0000
0.7500 0.2500 0.7500
0.7500 0.7500 0.2500
0.2500 0.2500 0.7500
0.2500 0.7500 0.2500
0.7500 0.2500 0.2500
0.7500 0.7500 0.7500
0.0000 0.0000 0.5000
0.0000 0.5000 0.0000
0.5000 0.0000 0.0000
0.5000 0.5000 0.5000
```

=====

No. 10
VASP calculation (PBE) on crystalline BaLiErS3 at its relaxed geometry.

- Relative energy among the computed polymorphs: 22 meV per atom
- E_tot: -5.3949 eV/atom

POSCAR file:
```
BaLiErS3
1.0
8.4537 0.0000 0.0000
0.0000 4.0640 0.0000
-2.4151 0.0000 8.5564
Ba Li Er S
2 2 2 6
direct
0.2005 0.2500 0.2474
0.7995 0.7500 0.7526
0.0869 0.2500 0.5937
0.9131 0.7500 0.4063
0.3266 0.7500 0.8431
0.6734 0.2500 0.1569
0.1169 0.2500 0.8679
0.2075 0.7500 0.5297
0.4542 0.7500 0.1609
0.5458 0.2500 0.8391
0.7925 0.2500 0.4703
0.8831 0.7500 0.1321
```

=====

No. 11
VASP calculation (PBE) on crystalline Tl2Tc2Se7 at its relaxed geometry.

- E_tot: -4.6810 eV/atom

POSCAR file:
```
Tl2Tc2Se7
1.0
3.7948 -6.0416 0.0000
3.7948 6.0416 0.0000
-0.0270 0.0000 6.3679
Tl Tc Se
2 2 7
direct
0.1507 0.8493 0.0000
0.8493 0.1507 0.0000
0.3088 0.3088 0.4385
0.6912 0.6912 0.5615
0.0000 0.0000 0.5000
0.1184 0.5161 0.3546
0.4201 0.4201 0.7833
0.4839 0.8816 0.6454
0.5161 0.1184 0.3546
0.5799 0.5799 0.2167
0.8816 0.4839 0.6454
```

=====

No. 12
VASP calculation (PBE) on crystalline GdTlAgTe3 at its relaxed geometry.

- Relative energy among the computed polymorphs: 3 meV per atom
- E_tot: -3.8937 eV/atom

POSCAR file:
```
GdTlAgTe3
1.0
15.7200 0.0000 0.0000
0.0000 4.2981 0.0000
0.0000 0.0000 11.6109
Gd Tl Ag Te
4 4 4 12
direct
0.0168 0.2500 0.1656
0.4832 0.7500 0.6656
0.5168 0.2500 0.3344
0.9832 0.7500 0.8344
0.2260 0.2500 0.4488
0.2740 0.7500 0.9488
0.7260 0.2500 0.0512
0.7740 0.7500 0.5512
0.0126 0.7500 0.4067
0.4874 0.2500 0.9067
0.5126 0.7500 0.0933
0.9874 0.2500 0.5933
0.1043 0.7500 0.6222
0.1075 0.2500 0.9295
0.1453 0.7500 0.2414
0.3547 0.2500 0.7414
0.3925 0.7500 0.4295
0.3957 0.2500 0.1222
0.6043 0.7500 0.8778
0.6075 0.2500 0.5705
0.6453 0.7500 0.2586
0.8547 0.2500 0.7586
0.8925 0.7500 0.0705
0.8957 0.2500 0.3778
```

=====

No. 13
VASP calculation (PBE) on crystalline HfIn2GaBr6 at its relaxed geometry.

- E_tot: -3.6688 eV/atom

POSCAR file:
```
HfIn2GaBr6
1.0
6.6608 -3.8743 0.0000
6.6608 3.8743 0.0000
-4.6321 0.0000 6.7233
Hf In Ga Br
1 2 1 6
direct
0.0000 0.0000 0.0000
0.2516 0.2516 0.7763
0.7484 0.7484 0.2237
0.5000 0.5000 0.5000
0.1765 0.6947 0.1580
0.2250 0.2250 0.3302
0.3053 0.8235 0.8420
0.6947 0.1765 0.1580
0.7750 0.7750 0.6698
0.8235 0.3053 0.8420
```

=====

No. 14
VASP calculation (PBE) on crystalline NdBiIr at its relaxed geometry.

- E_tot: -6.4847 eV/atom

POSCAR file:
```
NdBiIr
1.0
7.7581 0.0000 0.0000
-3.8790 6.7187 0.0000
0.0000 0.0000 4.1429
Nd Bi Ir
3 3 3
direct
0.0000 0.5953 0.0000
0.4047 0.4047 0.0000
0.5953 0.0000 0.0000
0.0000 0.2612 0.5000
0.2612 0.0000 0.5000
0.7388 0.7388 0.5000
0.0000 0.0000 0.0000
0.3333 0.6667 0.5000
0.6667 0.3333 0.5000
```

=====

No. 15
VASP calculation (PBE) on crystalline KPrEr at its relaxed geometry.

- Relative energy among the computed polymorphs: 0 meV per atom
- E_tot: -2.3613 eV/atom

POSCAR file:
```
KPrEr
1.0
8.3501 0.0000 0.0000
0.0000 8.3501 0.0000
0.0000 0.0000 8.3501
K Pr Er
4 4 4
direct
0.0000 0.0000 0.0000
0.0000 0.5000 0.5000
0.5000 0.0000 0.5000
0.5000 0.5000 0.0000
0.0000 0.0000 0.5000
0.0000 0.5000 0.0000
0.5000 0.0000 0.0000
0.5000 0.5000 0.5000
0.2500 0.2500 0.2500
0.2500 0.7500 0.7500
0.7500 0.2500 0.7500
0.7500 0.7500 0.2500
```

=====

No. 16
VASP calculation (PBE) on crystalline NiGe2Pd at its relaxed geometry.

- Relative energy among the computed polymorphs: 418 meV per atom
- E_tot: -4.9553 eV/atom

POSCAR file:
```
NiGe2Pd
1.0
6.2401 0.0000 0.0000
0.0000 6.2401 0.0000
0.0000 0.0000 6.2401
Ni Ge Pd
4 8 4
direct
0.0000 0.0000 0.0000
0.0000 0.5000 0.5000
0.5000 0.0000 0.5000
0.5000 0.5000 0.0000
0.0000 0.0000 0.5000
0.0000 0.5000 0.0000
0.2500 0.2500 0.7500
0.2500 0.7500 0.2500
0.5000 0.0000 0.0000
0.5000 0.5000 0.5000
0.7500 0.2500 0.2500
0.7500 0.7500 0.7500
0.2500 0.2500 0.2500
0.2500 0.7500 0.7500
0.7500 0.2500 0.7500
0.7500 0.7500 0.2500
```

=====

No. 17
VASP calculation (PBE) on crystalline BeZnCuPb at its relaxed geometry.

- Relative energy among the computed polymorphs: 44 meV per atom
- E_tot: -2.5450 eV/atom

POSCAR file:
```
BeZnCuPb
1.0
6.4630 0.0000 0.0000
0.0000 6.4630 0.0000
0.0000 0.0000 6.4630
Be Zn Cu Pb
4 4 4 4
direct
0.0000 0.0000 0.0000
0.0000 0.5000 0.5000
0.5000 0.0000 0.5000
0.5000 0.5000 0.0000
0.0000 0.0000 0.5000
0.0000 0.5000 0.0000
0.5000 0.0000 0.0000
0.5000 0.5000 0.5000
0.2500 0.2500 0.7500
0.2500 0.7500 0.2500
0.7500 0.2500 0.2500
0.7500 0.7500 0.7500
0.2500 0.2500 0.2500
0.2500 0.7500 0.7500
0.7500 0.2500 0.7500
0.7500 0.7500 0.2500
```

=====

No. 18
VASP calculation (PBE) on crystalline HfMg at its relaxed geometry.

- E_tot: -5.5882 eV/atom

POSCAR file:
```
HfMg
1.0
5.0592 0.0000 0.0000
0.0000 6.4428 0.0000
0.0000 0.0000 5.4570
Hf Mg
4 4
direct
0.0000 0.0000 0.0000
0.0000 0.2334 0.4829
0.0000 0.7666 0.4829
0.5000 0.0000 0.3385
0.0000 0.5000 0.9923
0.5000 0.2441 0.8331
0.5000 0.5000 0.3471
0.5000 0.7559 0.8331
```

=====

No. 19
VASP calculation (PBE) on crystalline Hf3Ga3NiIr2 at its relaxed geometry.

- E_tot: -7.7213 eV/atom

POSCAR file:
```
Hf3Ga3NiIr2
1.0
7.3010 0.0000 0.0000
-3.6505 6.3229 0.0000
0.0000 0.0000 3.2182
Hf Ga Ni Ir
3 3 1 2
direct
0.0000 0.6116 0.0000
0.3884 0.3884 0.0000
0.6116 0.0000 0.0000
0.0000 0.2643 0.5000
0.2643 0.0000 0.5000
0.7357 0.7357 0.5000
0.0000 0.0000 0.0000
0.3333 0.6667 0.5000
0.6667 0.3333 0.5000
```

=====

No. 20
VASP calculation (PBE) on crystalline LiPaCo at its relaxed geometry.

- Relative energy among the computed polymorphs: 279 meV per atom
- E_tot: -5.3580 eV/atom

POSCAR file:
```
LiPaCo
1.0
6.0718 0.0000 0.0000
0.0000 6.0718 0.0000
0.0000 0.0000 6.0718
Li Pa Co
4 4 4
direct
0.0000 0.0000 0.0000
0.0000 0.5000 0.5000
0.5000 0.0000 0.5000
0.5000 0.5000 0.0000
0.2500 0.2500 0.7500
0.2500 0.7500 0.2500
0.7500 0.2500 0.2500
0.7500 0.7500 0.7500
0.0000 0.0000 0.5000
0.0000 0.5000 0.0000
0.5000 0.0000 0.0000
0.5000 0.5000 0.5000
```

=====

No. 21
VASP calculation (PBE) on crystalline RbReO2F4 at its relaxed geometry.

- E_tot: -6.0196 eV/atom

POSCAR file:
```
RbReO2F4
1.0
5.1992 0.0000 0.0000
0.0000 5.1992 0.0000
0.0000 0.0000 9.7357
Rb Re O F
2 2 4 8
direct
0.0000 0.5000 0.0912
0.5000 0.0000 0.9088
0.0000 0.5000 0.6779
0.5000 0.0000 0.3221
0.1836 0.6836 0.5701
0.3164 0.1836 0.4299
0.6836 0.8164 0.4299
0.8164 0.3164 0.5701
0.1657 0.6657 0.8440
0.2454 0.7454 0.2906
0.2546 0.2454 0.7094
0.3343 0.1657 0.1560
0.6657 0.8343 0.1560
0.7454 0.7546 0.7094
0.7546 0.2546 0.2906
0.8343 0.3343 0.8440
```

=====

No. 22
VASP calculation (PBE) on crystalline NdYPt2 at its relaxed geometry.

- Relative energy among the computed polymorphs: 0 meV per atom
- Formation energy from the elements: -4.81 eV/f.u.
- E_tot: -7.0376 eV/atom

POSCAR file:
```
NdYPt2
1.0
4.5725 0.0000 0.0000
0.0000 7.2179 0.0000
0.0000 0.0000 5.6426
Nd Y Pt
2 2 4
direct
0.0000 0.0699 0.0000
0.5000 0.9301 0.5000
0.0000 0.5661 0.2196
0.5000 0.4339 0.7196
0.0000 0.2181 0.5143
0.0000 0.6947 0.7067
0.5000 0.3053 0.2067
0.5000 0.7819 0.0143
```